## P2Pb3O8 (PBE)

Data for a relaxed structure of P2Pb3O8.

Unit cell a=5.544 b=5.544 c=7.494 alpha=108.45 beta=108.45 gamma=66.69
Sites, in units of the cell vectors:
P 0.105 0.105 0.299
P 0.895 0.895 0.701
Pb 0.253 0.253 0.851
Pb 0.500 0.500 0.500
Pb 0.747 0.747 0.149
O 0.198 0.789 0.243
O 0.207 0.207 0.518
O 0.211 0.802 0.757
O 0.218 0.218 0.190
O 0.782 0.782 0.810
O 0.789 0.198 0.243
O 0.793 0.793 0.482
O 0.802 0.211 0.757

Properties
Space group: C2/m (12)
Total magnetic moment: 0.00 μB per atom
Polymorph energy (0 for the lowest one): 28 meV per atom
Total DFT energy (no corrections): -86.03 eV per cell
Uncorrected formation energy: -1878 meV/atom

***

## P2Pb3O8 (PBE)

Data for a relaxed structure of P2Pb3O8.

Unit cell a=10.001 b=7.386 c=20.031 alpha=90.00 beta=119.90 gamma=90.00
Sites, in units of the cell vectors:
P 0.000 0.003 0.000
P 0.000 0.997 0.500
P 0.040 0.492 0.627
P 0.040 0.508 0.127
P 0.387 0.496 0.507
P 0.387 0.504 0.007
P 0.413 0.004 0.321
P 0.413 0.996 0.821
P 0.630 0.491 0.302
P 0.630 0.509 0.802
P 0.643 0.006 0.616
P 0.643 0.994 0.116
Pb 0.007 0.493 0.942
Pb 0.007 0.507 0.442
Pb 0.012 0.018 0.179
Pb 0.012 0.982 0.679
Pb 0.284 0.010 0.941
Pb 0.284 0.990 0.441
Pb 0.291 0.483 0.818
Pb 0.291 0.517 0.318
Pb 0.332 0.249 0.637
Pb 0.332 0.751 0.137
Pb 0.374 0.245 0.153
Pb 0.374 0.755 0.653
Pb 0.684 0.255 0.478
Pb 0.684 0.745 0.978
Pb 0.761 0.489 0.175
Pb 0.761 0.511 0.675
Pb 0.762 0.022 0.816
Pb 0.762 0.978 0.316
O 0.090 0.344 0.184
O 0.090 0.656 0.684
O 0.113 0.486 0.074
O 0.113 0.514 0.574
O 0.116 0.319 0.677
O 0.116 0.681 0.177
O 0.180 0.001 0.552
O 0.180 0.999 0.052
O 0.278 0.337 0.976
O 0.278 0.663 0.476
O 0.284 0.327 0.495
O 0.284 0.673 0.995
O 0.337 0.010 0.231
O 0.337 0.990 0.731
O 0.344 0.156 0.844
O 0.344 0.844 0.344
O 0.377 0.178 0.353
O 0.377 0.822 0.853
O 0.450 0.482 0.765
O 0.450 0.518 0.265
O 0.483 0.478 0.466
O 0.483 0.522 0.966
O 0.496 0.482 0.097
O 0.496 0.518 0.597
O 0.538 0.010 0.654
O 0.538 0.990 0.154
O 0.539 0.003 0.026
O 0.539 0.997 0.526
O 0.591 0.012 0.859
O 0.591 0.988 0.359
O 0.649 0.317 0.262
O 0.649 0.683 0.762
O 0.697 0.347 0.778
O 0.697 0.653 0.278
O 0.709 0.473 0.390
O 0.709 0.527 0.890
O 0.746 0.178 0.637
O 0.746 0.822 0.137
O 0.756 0.157 0.147
O 0.756 0.843 0.647
O 0.862 0.477 0.579
O 0.862 0.523 0.079
O 0.924 0.014 0.051
O 0.924 0.986 0.551
O 0.937 0.169 0.449
O 0.937 0.831 0.949
O 0.953 0.166 0.943
O 0.953 0.834 0.443

Properties
Space group: Pc (7)
Total magnetic moment: 0.00 μB per atom
Polymorph energy (0 for the lowest one): 11 meV per atom
Total DFT energy (no corrections): -517.49 eV per cell
Uncorrected formation energy: -1895 meV/atom

***

## P2PbO2 (PBE)

Data for a relaxed structure of P2PbO2.

Unit cell a=3.812 b=3.812 c=4.644 alpha=90.00 beta=90.00 gamma=90.00
Sites, in units of the cell vectors:
P 0.000 0.000 0.000
P 0.000 0.000 0.500
Pb 0.500 0.500 0.000
O 0.000 0.500 0.500
O 0.500 0.000 0.500

Properties
Space group: P4/mmm (123)
Total magnetic moment: 0.00 μB per atom
Polymorph energy (0 for the lowest one): 0 meV per atom
Total DFT energy (no corrections): -26.47 eV per cell
Uncorrected formation energy: -405 meV/atom

***

## PPbO2 (PBE)

Data for a relaxed structure of PPbO2.

Unit cell a=7.213 b=7.213 c=7.213 alpha=25.36 beta=25.36 gamma=25.36
Sites, in units of the cell vectors:
P 0.000 0.000 0.000
Pb 0.500 0.500 0.500
O 0.382 0.382 0.382
O 0.618 0.618 0.618

Properties
Space group: R-3m (166)
Total magnetic moment: 0.00 μB per atom
Polymorph energy (0 for the lowest one): 227 meV per atom
Total DFT energy (no corrections): -20.97 eV per cell
Uncorrected formation energy: -483 meV/atom

***

## PPbO2 (PBE)

Data for a relaxed structure of PPbO2.

Unit cell a=5.756 b=5.756 c=5.756 alpha=120.19 beta=120.19 gamma=89.67
Sites, in units of the cell vectors:
P 0.375 0.625 0.750
P 0.625 0.375 0.250
Pb 0.125 0.875 0.250
Pb 0.875 0.125 0.750
O 0.000 0.500 0.500
O 0.500 0.000 0.000
O 0.500 0.500 0.000
O 0.500 0.500 0.500

Properties
Space group: I4_1/amd (141)
Total magnetic moment: 0.00 μB per atom
Polymorph energy (0 for the lowest one): 205 meV per atom
Total DFT energy (no corrections): -42.11 eV per cell
Uncorrected formation energy: -505 meV/atom

***

## PPbO2 (PBE)

Data for a relaxed structure of PPbO2.

Unit cell a=4.281 b=4.281 c=4.281 alpha=60.00 beta=60.00 gamma=60.00
Sites, in units of the cell vectors:
P 0.000 0.000 0.000
Pb 0.500 0.500 0.500
O 0.250 0.250 0.250
O 0.750 0.750 0.750

Properties
Space group: Fm-3m (225)
Total magnetic moment: 0.00 μB per atom
Polymorph energy (0 for the lowest one): 878 meV per atom
Total DFT energy (no corrections): -18.36 eV per cell
Uncorrected formation energy: 169 meV/atom

***

## P4Pb3O13 (PBE)

Data for a relaxed structure of P4Pb3O13.

Unit cell a=7.484 b=7.999 c=10.363 alpha=102.57 beta=104.17 gamma=94.55
Sites, in units of the cell vectors:
P 0.135 0.464 0.336
P 0.187 0.191 0.965
P 0.332 0.804 0.507
P 0.358 0.538 0.137
P 0.642 0.462 0.863
P 0.668 0.196 0.493
P 0.813 0.809 0.035
P 0.865 0.536 0.664
Pb 0.208 0.226 0.615
Pb 0.243 0.977 0.227
Pb 0.312 0.765 0.848
Pb 0.688 0.235 0.152
Pb 0.757 0.023 0.773
Pb 0.792 0.774 0.385
O 0.005 0.185 0.005
O 0.067 0.507 0.687
O 0.157 0.892 0.470
O 0.162 0.118 0.811
O 0.174 0.285 0.344
O 0.197 0.529 0.214
O 0.260 0.594 0.474
O 0.272 0.397 0.994
O 0.340 0.111 0.053
O 0.372 0.712 0.103
O 0.425 0.850 0.662
O 0.461 0.822 0.417
O 0.465 0.511 0.783
O 0.535 0.489 0.217
O 0.539 0.178 0.583
O 0.575 0.150 0.338
O 0.628 0.288 0.897
O 0.660 0.889 0.947
O 0.728 0.603 0.006
O 0.740 0.406 0.526
O 0.803 0.471 0.786
O 0.826 0.715 0.656
O 0.838 0.882 0.189
O 0.843 0.108 0.530
O 0.933 0.493 0.313
O 0.995 0.815 0.995

Properties
Space group: P-1 (2)
Total magnetic moment: 0.00 μB per atom
Total DFT energy (no corrections): -274.11 eV per cell
Uncorrected formation energy: -1992 meV/atom

***

## PPb2O5 (PBE)

Data for a relaxed structure of PPb2O5.

Unit cell a=5.703 b=5.703 c=5.703 alpha=120.97 beta=120.97 gamma=88.32
Sites, in units of the cell vectors:
P 0.000 0.000 0.000
Pb 0.275 0.775 0.500
Pb 0.775 0.275 0.500
O 0.150 0.150 0.406
O 0.150 0.743 0.000
O 0.192 0.192 0.000
O 0.743 0.150 0.000
O 0.743 0.743 0.594

Properties
Space group: I4mm (107)
Total magnetic moment: 0.12 μB per atom
Total DFT energy (no corrections): -48.89 eV per cell
Uncorrected formation energy: -1409 meV/atom

***

## P2PbO2 (PBE)

Data for a relaxed structure of P2PbO2.

Unit cell a=5.339 b=5.339 c=4.120 alpha=90.00 beta=90.00 gamma=90.00
Sites, in units of the cell vectors:
P 0.000 0.500 0.000
P 0.500 0.000 0.000
Pb 0.000 0.000 0.000
O 0.000 0.000 0.500
O 0.500 0.500 0.500

Properties
Space group: P4/mmm (123)
Total magnetic moment: 0.00 μB per atom
Polymorph energy (0 for the lowest one): 1871 meV per atom
Total DFT energy (no corrections): -17.11 eV per cell
Uncorrected formation energy: 1466 meV/atom

***

## P2Pb3O8 (PBE)

Data for a relaxed structure of P2Pb3O8.

Unit cell a=9.990 b=9.990 c=7.366 alpha=90.00 beta=90.00 gamma=120.00
Sites, in units of the cell vectors:
P 0.022 0.630 0.000
P 0.370 0.392 0.000
P 0.395 0.019 0.496
P 0.608 0.978 0.000
P 0.624 0.605 0.496
P 0.981 0.376 0.496
Pb 0.265 0.257 0.506
Pb 0.269 0.011 0.989
Pb 0.333 0.667 0.245
Pb 0.333 0.667 0.739
Pb 0.667 0.333 0.236
Pb 0.743 0.008 0.506
Pb 0.743 0.731 0.989
Pb 0.989 0.257 0.989
Pb 0.992 0.735 0.506
O 0.075 0.740 0.831
O 0.094 0.522 0.979
O 0.099 0.734 0.170
O 0.162 0.483 0.495
O 0.260 0.335 0.831
O 0.266 0.365 0.170
O 0.321 0.838 0.495
O 0.328 0.066 0.658
O 0.352 0.079 0.323
O 0.427 0.906 0.979
O 0.465 0.310 0.015
O 0.478 0.573 0.979
O 0.517 0.679 0.495
O 0.522 0.426 0.504
O 0.574 0.096 0.504
O 0.635 0.901 0.170
O 0.665 0.925 0.831
O 0.690 0.155 0.015
O 0.727 0.648 0.323
O 0.739 0.672 0.658
O 0.845 0.535 0.015
O 0.904 0.478 0.504
O 0.921 0.273 0.323
O 0.934 0.261 0.658

Properties
Space group: P3 (143)
Total magnetic moment: 0.00 μB per atom
Polymorph energy (0 for the lowest one): 13 meV per atom
Total DFT energy (no corrections): -258.68 eV per cell
Uncorrected formation energy: -1894 meV/atom

***

## PPb2O6 (PBE)

Data for a relaxed structure of PPb2O6.

Unit cell a=4.874 b=4.874 c=9.557 alpha=90.00 beta=90.00 gamma=90.00
Sites, in units of the cell vectors:
P 0.000 0.000 0.000
P 0.500 0.500 0.500
Pb 0.000 0.000 0.336
Pb 0.000 0.000 0.664
Pb 0.500 0.500 0.164
Pb 0.500 0.500 0.836
O 0.172 0.172 0.134
O 0.172 0.172 0.866
O 0.244 0.244 0.500
O 0.256 0.744 0.000
O 0.328 0.672 0.366
O 0.328 0.672 0.634
O 0.672 0.328 0.366
O 0.672 0.328 0.634
O 0.744 0.256 0.000
O 0.756 0.756 0.500
O 0.828 0.828 0.134
O 0.828 0.828 0.866

Properties
Space group: P4_2/mnm (136)
Total magnetic moment: 0.00 μB per atom
Total DFT energy (no corrections): -105.00 eV per cell
Uncorrected formation energy: -1103 meV/atom

***

## P2PdPbO8 (PBE)

Data for a relaxed structure of P2PdPbO8.

Unit cell a=8.079 b=8.079 c=8.079 alpha=34.44 beta=34.44 gamma=34.44
Sites, in units of the cell vectors:
P 0.241 0.241 0.241
P 0.759 0.759 0.759
Pd 0.500 0.500 0.500
Pb 0.000 0.000 0.000
O 0.098 0.766 0.474
O 0.234 0.526 0.902
O 0.309 0.309 0.309
O 0.474 0.098 0.766
O 0.526 0.902 0.234
O 0.691 0.691 0.691
O 0.766 0.474 0.098
O 0.902 0.234 0.526

Properties
Space group: R-3 (148)
Total magnetic moment: 0.00 μB per atom
Total DFT energy (no corrections): -78.08 eV per cell
Uncorrected formation energy: -1558 meV/atom